1.
Material: Ce12GeOs6
Method: DFT, PBE
State: relaxed

a = 13.8280 Å, b = 13.8280 Å, c = 8.5968 Å
α = 90.00°, β = 90.00°, γ = 120.00°
Last column: nearest neighbours and their distance in Å.
Space group R-3m (No. 166, hexagonal axes)
Asymmetric unit:
Ce1 0.0000 0.3845 0.0000  4 Os 2.82-3.09, 2 Ce 3.12
Ce2 0.0860 0.1720 0.7995  3 Os 2.66-2.98
Ge1 0.0000 0.0000 0.5000  6 Ce 3.30
Os1 0.0678 0.5339 0.7472  5 Ce 2.66-2.98

Summary:
Magnetization in μB/f.u.: 4.520
Energy of formation in kJ/mol of atoms: 0.7

***

2.
Material: CeGe4Os2
Method: DFT, PBE
State: relaxed

a = 7.7748 Å, b = 7.7748 Å, c = 8.1801 Å
α = 90.00°, β = 90.00°, γ = 90.00°
Last column: nearest neighbours and their distance in Å.
Space group I-42d (No. 122)
Asymmetric unit:
Ce1 0.0000 0.0000 0.0000  8 Ge 2.94-3.09
Ge1 0.0849 0.6441 0.9079  4 Os 2.56-2.82, 2 Ge 2.60-2.62
Os1 0.1767 0.7500 0.6250  8 Ge 2.56-2.82

Summary:
Magnetization in μB/f.u.: 0.547
Offset from the most stable computed form in meV per atom: 234
Energy of formation in kJ/mol of atoms: -9.2

***

- Which of these has the highest magnetization?
  Ce12GeOs6

***

What did the second record say?
Material: CeGe4Os2
Method: DFT, PBE
State: relaxed

a = 7.7748 Å, b = 7.7748 Å, c = 8.1801 Å
α = 90.00°, β = 90.00°, γ = 90.00°
Last column: nearest neighbours and their distance in Å.
Space group I-42d (No. 122)
Asymmetric unit:
Ce1 0.0000 0.0000 0.0000  8 Ge 2.94-3.09
Ge1 0.0849 0.6441 0.9079  4 Os 2.56-2.82, 2 Ge 2.60-2.62
Os1 0.1767 0.7500 0.6250  8 Ge 2.56-2.82

Summary:
Magnetization in μB/f.u.: 0.547
Offset from the most stable computed form in meV per atom: 234
Energy of formation in kJ/mol of atoms: -9.2